Record 1
# KZn2Au

An optimized crystal structure of KZn2Au (PBEsol, the Alexandria database).

Lattice parameters (Å, degrees): 4.905 4.905 4.905 60.00 60.00 60.00
Positions (direct):
Au (0.500, 0.500, 0.500)
K (0.250, 0.250, 0.250)
Zn (0.000, 0.000, 0.000)
Zn (0.750, 0.750, 0.750)

Output
E_form: 0.24 eV per atom
E above lowest polymorph: 413 meV/atom

***

Record 2
# K2ZnAu

An optimized crystal structure of K2ZnAu (PBEsol, the Alexandria database).

Lattice parameters (Å, degrees): 5.518 5.571 5.518 60.31 90.00 119.69
Positions (direct):
Au (0.500, 0.000, 0.500)
K (0.250, 0.500, 0.250)
K (0.750, 0.500, 0.750)
Zn (0.000, 0.000, 0.000)

Output
E_form: 0.09 eV per atom
E above lowest polymorph: 178 meV/atom

***

Record 3
# K2ZrAu

An optimized crystal structure of K2ZrAu (PBEsol, the Alexandria database).

Lattice parameters (Å, degrees): 5.252 5.252 5.252 60.00 60.00 60.00
Positions (direct):
Au (0.500, 0.500, 0.500)
K (0.000, 0.000, 0.000)
K (0.750, 0.750, 0.750)
Zr (0.250, 0.250, 0.250)

Output
E_form: 0.72 eV per atom
E above lowest polymorph: 483 meV/atom

***

Record 4
# K2ZrAu

An optimized crystal structure of K2ZrAu (PBEsol, the Alexandria database).

Lattice parameters (Å, degrees): 5.585 5.585 5.585 60.00 60.00 60.00
Positions (direct):
Au (0.000, 0.000, 0.000)
K (0.250, 0.250, 0.250)
K (0.750, 0.750, 0.750)
Zr (0.500, 0.500, 0.500)

Output
E_form: 1.06 eV per atom
E above lowest polymorph: 824 meV/atom

***

Record 5
# K2ZrAu

An optimized crystal structure of K2ZrAu (PBEsol, the Alexandria database).

Lattice parameters (Å, degrees): 3.765 4.559 6.073 89.91 90.00 90.00
Positions (direct):
Au (0.000, 0.500, 0.500)
K (0.000, 0.000, 0.000)
K (0.500, 0.500, 0.000)
Zr (0.500, 0.000, 0.500)

Output
E_form: 0.52 eV per atom
E above lowest polymorph: 282 meV/atom

***

Record 6
# K2ZrAu

An optimized crystal structure of K2ZrAu (PBEsol, the Alexandria database).

Lattice parameters (Å, degrees): 3.535 4.986 9.740 103.38 90.00 110.76
Positions (direct):
Au (0.275, 0.550, 0.625)
K (0.909, 0.818, 0.922)
K (0.755, 0.510, 0.328)
Zr (0.561, 0.122, 0.625)

Output
E_form: 0.24 eV per atom
E above lowest polymorph: 0 meV/atom

***

Record 7
# K2ZrAu

An optimized crystal structure of K2ZrAu (PBEsol, the Alexandria database).

Lattice parameters (Å, degrees): 3.188 5.260 6.216 90.00 90.00 92.30
Positions (direct):
Au (0.500, 0.000, 0.500)
K (0.259, 0.237, 0.000)
K (0.741, 0.763, 0.000)
Zr (0.000, 0.500, 0.500)

Output
E_form: 0.56 eV per atom
E above lowest polymorph: 327 meV/atom

***

Record 8
# KZrAu2

An optimized crystal structure of KZrAu2 (PBEsol, the Alexandria database).

Lattice parameters (Å, degrees): 2.877 5.403 5.403 90.00 90.00 90.00
Positions (direct):
Au (0.000, 0.500, 0.000)
Au (0.000, 0.000, 0.500)
K (0.500, 0.000, 0.000)
Zr (0.500, 0.500, 0.500)

Output
E_form: -0.14 eV per atom
E above lowest polymorph: 0 meV/atom

***

no.,DOS(E_F) (states/eV per atom)
1,0.28
2,0.36
3,1.12
4,2.03
5,0.72
6,0.48
7,0.75
8,0.49